Entry 1:
The following is a PBE calculation of a geometry-optimized TbHfCd structure, from Alexandria.

Values from the calculation:
E_form = -0.070 eV/atom
Excess energy over the best structure of this formula in the dataset = 0 meV/atom
Magnetization = 0.0 μB per cell

Cell lengths 6.9838, 6.9838, 6.9838 Å; angles 152.13, 152.13, 39.82 degrees
Element x y z (fractional)
Tb 0.0000 0.0000 0.0000
Hf 0.3295 0.3295 0.0000
Cd 0.6778 0.6778 0.0000

=====

Entry 2:
The following is a PBE calculation of a geometry-optimized KMn2Pt structure, from Alexandria.

Values from the calculation:
E_form = 0.725 eV/atom
Excess energy over the best structure of this formula in the dataset = 378 meV/atom
Magnetization = 8.4 μB per cell

Cell lengths 4.4512, 4.4512, 3.8529 Å; angles 90.00, 90.00, 90.00 degrees
Element x y z (fractional)
K 0.0000 0.0000 0.0000
Mn 0.0000 0.5000 0.5000
Mn 0.5000 0.0000 0.5000
Pt 0.5000 0.5000 0.0000

=====

Entry 3:
The following is a PBE calculation of a geometry-optimized HfGeI structure, from Alexandria.

Values from the calculation:
Raw formation energy = -0.1883 eV/atom
Magnetization = 0.0 μB per cell

Cell lengths 3.6570, 6.8560, 6.9099 Å; angles 108.47, 90.08, 105.21 degrees
Element x y z (fractional)
Hf 0.2422 0.4841 0.3097
Hf 0.7578 0.5159 0.6903
Ge 0.0819 0.1653 0.4497
Ge 0.9181 0.8347 0.5503
I 0.3723 0.7484 0.0243
I 0.6277 0.2516 0.9757

=====

Entry 4:
The following is a PBE calculation of a geometry-optimized Cs2SBrCl6 structure, from Alexandria.

Values from the calculation:
Raw formation energy = -0.8609 eV/atom
Magnetization = 0.0 μB per cell

Cell lengths 7.6057, 7.6057, 7.6057 Å; angles 115.86, 115.86, 97.34 degrees
Element x y z (fractional)
Cs 0.2500 0.7500 0.5000
Cs 0.7500 0.2500 0.5000
S 0.0000 0.0000 0.0000
Br 0.5000 0.5000 0.0000
Cl 0.2041 0.2041 0.4081
Cl 0.2041 0.7959 0.0000
Cl 0.2488 0.2488 0.0000
Cl 0.7512 0.7512 0.0000
Cl 0.7959 0.2041 0.0000
Cl 0.7959 0.7959 0.5919

=====

Entry 5:
The following is a PBE calculation of a geometry-optimized In3GaN4 structure, from Alexandria.

Values from the calculation:
Raw formation energy = -0.0307 eV/atom
Magnetization = 0.0 μB per cell

Cell lengths 6.9779, 6.9779, 5.6559 Å; angles 90.00, 90.00, 120.00 degrees
Element x y z (fractional)
In 0.1696 0.3391 0.0000
In 0.1696 0.8304 0.0000
In 0.3391 0.1696 0.5000
In 0.6609 0.8304 0.0000
In 0.8304 0.1696 0.5000
In 0.8304 0.6609 0.5000
Ga 0.3333 0.6667 0.5014
Ga 0.6667 0.3333 0.0014
N 0.1770 0.3540 0.3879
N 0.1770 0.8230 0.3879
N 0.3333 0.6667 0.8487
N 0.3540 0.1770 0.8879
N 0.6460 0.8230 0.3879
N 0.6667 0.3333 0.3487
N 0.8230 0.1770 0.8879
N 0.8230 0.6460 0.8879

=====

Entry 6:
The following is a PBE calculation of a geometry-optimized HoSi2Ru structure, from Alexandria.

Values from the calculation:
Raw formation energy = -0.8157 eV/atom
Magnetization = 0.0 μB per cell

Cell lengths 6.9888, 3.9838, 9.9563 Å; angles 90.00, 90.00, 90.00 degrees
Element x y z (fractional)
Ho 0.1514 0.2500 0.1263
Ho 0.3486 0.7500 0.6263
Ho 0.6514 0.2500 0.3737
Ho 0.8486 0.7500 0.8737
Si 0.1486 0.2500 0.8174
Si 0.1998 0.2500 0.4262
Si 0.3002 0.7500 0.9262
Si 0.3514 0.7500 0.3174
Si 0.6486 0.2500 0.6826
Si 0.6998 0.2500 0.0738
Si 0.8002 0.7500 0.5738
Si 0.8514 0.7500 0.1826
Ru 0.0145 0.7500 0.3887
Ru 0.4855 0.2500 0.8887
Ru 0.5145 0.7500 0.1113
Ru 0.9855 0.2500 0.6113

=====

Entry 7:
The following is a PBE calculation of a geometry-optimized LiSc3B structure, from Alexandria.

Values from the calculation:
E_form = 0.015 eV/atom
Excess energy over the best structure of this formula in the dataset = 0 meV/atom
Magnetization = 1.2 μB per cell

Cell lengths 4.7507, 4.7507, 4.7507 Å; angles 90.00, 90.00, 90.00 degrees
Element x y z (fractional)
Li 0.0000 0.0000 0.0000
Sc 0.0000 0.5000 0.5000
Sc 0.5000 0.0000 0.5000
Sc 0.5000 0.5000 0.0000
B 0.5000 0.5000 0.5000

=====

Entry 8:
The following is a PBE calculation of a geometry-optimized PmYSiIr structure, from Alexandria.

Values from the calculation:
Raw formation energy = -0.8148 eV/atom
Excess energy over the best structure of this formula in the dataset = 0 meV/atom
Magnetization = 0.0 μB per cell

Cell lengths 4.0537, 5.7245, 5.7245 Å; angles 43.59, 90.00, 90.00 degrees
Element x y z (fractional)
Pm 0.0000 0.0000 0.0000
Y 0.5000 0.2832 0.2832
Si 0.5000 0.5819 0.5819
Ir 0.0000 0.7183 0.7183

=====

Entry 9:
The following is a PBE calculation of a geometry-optimized SrLiMo structure, from Alexandria.

Values from the calculation:
E_form = 0.501 eV/atom
Excess energy over the best structure of this formula in the dataset = 126 meV/atom
Magnetization = 0.0 μB per cell

Cell lengths 3.6079, 6.0122, 7.6864 Å; angles 79.75, 76.45, 89.80 degrees
Element x y z (fractional)
Sr 0.0000 0.0000 0.0000
Sr 0.1917 0.5847 0.6099
Li 0.3368 0.1126 0.3275
Li 0.6991 0.0995 0.6008
Mo 0.4851 0.4897 0.0255
Mo 0.8798 0.4751 0.2357

=====

Entry 10:
The following is a PBE calculation of a geometry-optimized Zr4MnHg structure, from Alexandria.

Values from the calculation:
E_form = 0.426 eV/atom
Magnetization = 3.7 μB per cell

Cell lengths 5.7317, 5.7317, 5.7317 Å; angles 60.00, 60.00, 60.00 degrees
Element x y z (fractional)
Zr 0.3760 0.3760 0.3760
Zr 0.3760 0.3760 0.8721
Zr 0.3760 0.8721 0.3760
Zr 0.8721 0.3760 0.3760
Mn 0.7500 0.7500 0.7500
Hg 0.0000 0.0000 0.0000

=====

Entry 11:
The following is a PBE calculation of a geometry-optimized TaCl2 structure, from Alexandria.

Values from the calculation:
Raw formation energy = -0.8653 eV/atom
Magnetization = 0.7 μB per cell

Cell lengths 7.5824, 7.5824, 8.1683 Å; angles 109.38, 109.38, 24.18 degrees
Element x y z (fractional)
Ta 0.0226 0.0226 0.1647
Ta 0.9774 0.9774 0.8353
Cl 0.3436 0.3436 0.7298
Cl 0.4115 0.4115 0.2261
Cl 0.5885 0.5885 0.7739
Cl 0.6564 0.6564 0.2702

=====

Entry 12:
The following is a PBE calculation of a geometry-optimized PmScBePd structure, from Alexandria.

Values from the calculation:
E_form = -0.281 eV/atom
Magnetization = 0.0 μB per cell

Cell lengths 4.8514, 4.8514, 4.8514 Å; angles 60.00, 60.00, 60.00 degrees
Element x y z (fractional)
Pm 0.0000 0.0000 0.0000
Sc 0.5000 0.5000 0.5000
Be 0.7500 0.7500 0.7500
Pd 0.2500 0.2500 0.2500

=====

magnetization of number 5 (In3GaN4)? 0.0 μB per cell